DFT (GGA-PBE) results for an optimized crystal structure of CeSm2Pd.

Geometry as POSCAR:
```
CeSm2Pd
1.0
-2.815 1.883 1.658
-3.539 -0.434 -1.227
-3.373 -6.871 6.367
Ce Sm Pd
1 2 1
Direct
0.500 0.500 0.499 Ce
0.066 0.066 0.803 Sm
0.268 0.268 0.197 Sm
0.667 0.667 0.000 Pd
```

Computed properties:
M_tot in Bohr magnetons per cell: 1.61
Crystal system: trigonal
DOS at the Fermi energy in states/eV/f.u.: 8.210
Energy relative to the elements in eV per formula unit: -0.74
Symmetry: No. 160